A plane-wave DFT calculation with meta-GGA SCAN was carried out for a crystal of Mg3CuGe relaxed with PBEsol.

```
Mg3CuGe
1.0
-4.2167 -1.6990 1.4500
1.4804 0.1938 4.5322
-1.6726 4.4549 0.3559
Cu Mg Ge
1 3 1
Cartesian
0.0000 0.0000 0.0000
0.7402 0.0969 2.2661
-0.8363 2.2274 0.1779
-2.1084 -0.8495 0.7250
-2.2044 1.4748 3.1690
```

Properties
E_form: 1.1 eV/f.u.
total DFT energy (no corrections): -9.62 eV per atom